The following is a DFT calculation (PBEsol) of a geometry-optimized CuH3Rh structure.

The structure belongs to space group Pm-3m (No. 221); the cell edges are 3.3447, 3.3447 and 3.3447 Å and the angles 90.00°, 90.00° and 90.00°. The inequivalent atoms are Cu at (0.0000, 0.0000, 0.0000), H at (0.0000, 0.5000, 0.5000) and Rh at (0.5000, 0.5000, 0.5000).

The density of states at the Fermi level comes out at 0.68 states/eV/cell. The total energy comes out at -4.3724 eV per atom.

The following is a DFT calculation (PBEsol) of a geometry-optimized Cu2TcHRh structure.

The structure belongs to space group P4/mmm (No. 123); the cell edges are 4.6026, 4.6026 and 4.5084 Å and the angles 90.00°, 90.00° and 90.00°. The inequivalent atoms are Cu at (0.0000, 0.5000, 0.0000), Tc at (0.0000, 0.0000, 0.5000), H at (0.5000, 0.5000, 0.5000) and Rh at (0.0000, 0.0000, 0.0000).

The density of states at the Fermi level comes out at 3.86 states/eV/cell. The total energy comes out at -4.4169 eV per atom.

The following is a DFT calculation (PBEsol) of a geometry-optimized CuHS2 structure.

The structure belongs to space group R-3m (No. 166, hexagonal axes); the cell edges are 2.8720, 2.8720 and 20.5851 Å and the angles 90.00°, 90.00° and 120.00°. The inequivalent atoms are Cu at (0.0000, 0.0000, 0.0000), H at (0.0000, 0.0000, 0.5000) and S at (0.0000, 0.0000, 0.1039).

The density of states at the Fermi level comes out at 3.69 states/eV/cell. The total energy comes out at -3.5058 eV per atom.